# ScBeCoGe, relaxed, DFT GGA-PBE
data_ScBeCoGe
_chemical_formula_sum 'Sc4 Be4 Co4 Ge4'
_symmetry_space_group_name_H-M 'F -4 3 m'
_symmetry_Int_Tables_number 216
_symmetry_space_group_name_Hall 'F -4 2 3'
_cell_length_a 5.957
_cell_length_b 5.957
_cell_length_c 5.957
_cell_angle_alpha 90.00
_cell_angle_beta 90.00
_cell_angle_gamma 90.00
loop_
_atom_site_label
_atom_site_fract_x
_atom_site_fract_y
_atom_site_fract_z
Sc1 0.000 0.000 0.000
Be1 0.250 0.250 0.750
Co1 0.000 0.000 0.500
Ge1 0.250 0.250 0.250
# Offset from the most stable computed form in eV/atom: 0.028

=====

# Sm4Bi3Sb, relaxed, DFT GGA-PBE
data_Sm4Bi3Sb
_chemical_formula_sum 'Sm4 Bi3 Sb1'
_symmetry_space_group_name_H-M 'P m -3 m'
_symmetry_Int_Tables_number 221
_symmetry_space_group_name_Hall '-P 4 2 3'
_cell_length_a 6.400
_cell_length_b 6.400
_cell_length_c 6.400
_cell_angle_alpha 90.00
_cell_angle_beta 90.00
_cell_angle_gamma 90.00
loop_
_atom_site_label
_atom_site_fract_x
_atom_site_fract_y
_atom_site_fract_z
Sm1 0.000 0.000 0.000
Sm2 0.000 0.500 0.500
Bi1 0.000 0.000 0.500
Sb1 0.500 0.500 0.500
# DFT total energy in eV/atom: -5.3893

=====

# Pr3Ni2, relaxed, DFT GGA-PBE
data_Pr3Ni2
_chemical_formula_sum 'Pr6 Ni4'
_symmetry_space_group_name_H-M 'P 4/m b m'
_symmetry_Int_Tables_number 127
_symmetry_space_group_name_Hall '-P 4 2ab'
_cell_length_a 7.811
_cell_length_b 7.811
_cell_length_c 3.977
_cell_angle_alpha 90.00
_cell_angle_beta 90.00
_cell_angle_gamma 90.00
loop_
_atom_site_label
_atom_site_fract_x
_atom_site_fract_y
_atom_site_fract_z
Pr1 0.000 0.000 0.000
Pr2 0.168 0.332 0.500
Ni1 0.115 0.615 0.000
# Energy relative to the elements in eV/atom: -0.20
# Offset from the most stable computed form in eV/atom: 0.000

=====

# HfNiGe2, relaxed, DFT GGA-PBE
data_HfNiGe2
_chemical_formula_sum 'Hf4 Ni4 Ge8'
_symmetry_space_group_name_H-M 'F -4 3 m'
_symmetry_Int_Tables_number 216
_symmetry_space_group_name_Hall 'F -4 2 3'
_cell_length_a 6.449
_cell_length_b 6.449
_cell_length_c 6.449
_cell_angle_alpha 90.00
_cell_angle_beta 90.00
_cell_angle_gamma 90.00
loop_
_atom_site_label
_atom_site_fract_x
_atom_site_fract_y
_atom_site_fract_z
Hf1 0.000 0.000 0.000
Ni1 0.250 0.250 0.750
Ge1 0.000 0.000 0.500
Ge2 0.250 0.250 0.250
# DFT total energy in eV/atom: -6.2175

=====

# TbDy2Ge4Pd4, relaxed, DFT GGA-PBE
data_TbDy2Ge4Pd4
_chemical_formula_sum 'Tb2 Dy4 Ge8 Pd8'
_symmetry_space_group_name_H-M 'I m m m'
_symmetry_Int_Tables_number 71
_symmetry_space_group_name_Hall '-I 2 2'
_cell_length_a 4.186
_cell_length_b 7.117
_cell_length_c 14.020
_cell_angle_alpha 90.00
_cell_angle_beta 90.00
_cell_angle_gamma 90.00
loop_
_atom_site_label
_atom_site_fract_x
_atom_site_fract_y
_atom_site_fract_z
Tb1 0.000 0.000 0.000
Dy1 0.000 0.500 0.126
Ge1 0.000 0.000 0.218
Ge2 0.000 0.188 0.500
Pd1 0.000 0.299 0.325
# DFT total energy in eV/atom: -5.7348

=====

# LuFeHgBi, relaxed, DFT GGA-PBE
data_LuFeHgBi
_chemical_formula_sum 'Lu4 Fe4 Hg4 Bi4'
_symmetry_space_group_name_H-M 'F -4 3 m'
_symmetry_Int_Tables_number 216
_symmetry_space_group_name_Hall 'F -4 2 3'
_cell_length_a 7.092
_cell_length_b 7.092
_cell_length_c 7.092
_cell_angle_alpha 90.00
_cell_angle_beta 90.00
_cell_angle_gamma 90.00
loop_
_atom_site_label
_atom_site_fract_x
_atom_site_fract_y
_atom_site_fract_z
Lu1 0.000 0.000 0.000
Fe1 0.000 0.000 0.500
Hg1 0.250 0.250 0.750
Bi1 0.250 0.250 0.250
# Offset from the most stable computed form in eV/atom: 0.000

=====

# PaPPbO, relaxed, DFT GGA-PBE
data_PaPPbO
_chemical_formula_sum 'Pa2 P2 Pb2 O2'
_symmetry_space_group_name_H-M 'P 4/n m m'
_symmetry_Int_Tables_number 129
_cell_length_a 4.097
_cell_length_b 4.097
_cell_length_c 10.057
_cell_angle_alpha 90.00
_cell_angle_beta 90.00
_cell_angle_gamma 90.00
loop_
_symmetry_equiv_pos_as_xyz
'x,y,z'
'-x,-y,-z'
'-y+1/2,x,z'
'y+1/2,-x,-z'
'-x+1/2,-y+1/2,z'
'x+1/2,y+1/2,-z'
'y,-x+1/2,z'
'-y,x+1/2,-z'
'x+1/2,-y,-z'
'-x+1/2,y,z'
'-y,-x,-z'
'y,x,z'
'-x,y+1/2,-z'
'x,-y+1/2,z'
'y+1/2,x+1/2,-z'
'-y+1/2,-x+1/2,z'
loop_
_atom_site_label
_atom_site_fract_x
_atom_site_fract_y
_atom_site_fract_z
Pa1 0.250 0.250 0.127
P1 0.250 0.250 0.750
Pb1 0.250 0.750 0.500
O1 0.250 0.750 0.000
# Offset from the most stable computed form in eV/atom: 0.000

=====

# TbPPt, relaxed, DFT GGA-PBE
data_TbPPt
_chemical_formula_sum 'Tb1 P1 Pt1'
_symmetry_space_group_name_H-M 'P -6 m 2'
_symmetry_Int_Tables_number 187
_symmetry_space_group_name_Hall 'P -6 2'
_cell_length_a 4.1415
_cell_length_b 4.1415
_cell_length_c 3.8960
_cell_angle_alpha 90.00
_cell_angle_beta 90.00
_cell_angle_gamma 120.00
loop_
_atom_site_label
_atom_site_fract_x
_atom_site_fract_y
_atom_site_fract_z
Tb1 0.0000 0.0000 0.0000
P1 0.6667 0.3333 0.5000
Pt1 0.3333 0.6667 0.5000
# DFT total energy in eV/atom: -6.7252

=====

# FeSnPtW, relaxed, DFT GGA-PBE
data_FeSnPtW
_chemical_formula_sum 'Fe4 Sn4 Pt4 W4'
_symmetry_space_group_name_H-M 'F -4 3 m'
_symmetry_Int_Tables_number 216
_symmetry_space_group_name_Hall 'F -4 2 3'
_cell_length_a 6.358
_cell_length_b 6.358
_cell_length_c 6.358
_cell_angle_alpha 90.00
_cell_angle_beta 90.00
_cell_angle_gamma 90.00
loop_
_atom_site_label
_atom_site_fract_x
_atom_site_fract_y
_atom_site_fract_z
Fe1 0.000 0.000 0.000
Sn1 0.250 0.250 0.750
Pt1 0.250 0.250 0.250
W1 0.000 0.000 0.500
# Offset from the most stable computed form in eV/atom: 0.020

=====

# RbCo2Se3, relaxed, DFT GGA-PBE
data_RbCo2Se3
_chemical_formula_sum 'Rb4 Co8 Se12'
_symmetry_space_group_name_H-M 'C m c m'
_symmetry_Int_Tables_number 63
_symmetry_space_group_name_Hall '-C 2c 2'
_cell_length_a 9.541
_cell_length_b 11.367
_cell_length_c 5.438
_cell_angle_alpha 90.00
_cell_angle_beta 90.00
_cell_angle_gamma 90.00
loop_
_atom_site_label
_atom_site_fract_x
_atom_site_fract_y
_atom_site_fract_z
Rb1 0.000 0.163 0.250
Co1 0.141 0.500 0.000
Se1 0.000 0.385 0.750
Se2 0.226 0.116 0.750
# DFT total energy in eV/atom: -4.7610

=====

# PrGeBi, relaxed, DFT GGA-PBE
data_PrGeBi
_chemical_formula_sum 'Pr4 Ge4 Bi4'
_symmetry_space_group_name_H-M 'F -4 3 m'
_symmetry_Int_Tables_number 216
_symmetry_space_group_name_Hall 'F -4 2 3'
_cell_length_a 7.382
_cell_length_b 7.382
_cell_length_c 7.382
_cell_angle_alpha 90.00
_cell_angle_beta 90.00
_cell_angle_gamma 90.00
loop_
_atom_site_label
_atom_site_fract_x
_atom_site_fract_y
_atom_site_fract_z
Pr1 0.000 0.000 0.000
Ge1 0.000 0.000 0.500
Bi1 0.250 0.250 0.750
# Offset from the most stable computed form in eV/atom: 0.575

=====

# HfCdCoSn, relaxed, DFT GGA-PBE
data_HfCdCoSn
_chemical_formula_sum 'Hf4 Cd4 Co4 Sn4'
_symmetry_space_group_name_H-M 'F -4 3 m'
_symmetry_Int_Tables_number 216
_symmetry_space_group_name_Hall 'F -4 2 3'
_cell_length_a 6.663
_cell_length_b 6.663
_cell_length_c 6.663
_cell_angle_alpha 90.00
_cell_angle_beta 90.00
_cell_angle_gamma 90.00
loop_
_atom_site_label
_atom_site_fract_x
_atom_site_fract_y
_atom_site_fract_z
Hf1 0.000 0.000 0.000
Cd1 0.250 0.250 0.750
Co1 0.000 0.000 0.500
Sn1 0.250 0.250 0.250
# Offset from the most stable computed form in eV/atom: 0.060

=====

# BaReOsAu, relaxed, DFT GGA-PBE
data_BaReOsAu
_chemical_formula_sum 'Ba4 Re4 Os4 Au4'
_symmetry_space_group_name_H-M 'F -4 3 m'
_symmetry_Int_Tables_number 216
_symmetry_space_group_name_Hall 'F -4 2 3'
_cell_length_a 6.893
_cell_length_b 6.893
_cell_length_c 6.893
_cell_angle_alpha 90.00
_cell_angle_beta 90.00
_cell_angle_gamma 90.00
loop_
_atom_site_label
_atom_site_fract_x
_atom_site_fract_y
_atom_site_fract_z
Ba1 0.000 0.000 0.000
Re1 0.000 0.000 0.500
Os1 0.250 0.250 0.750
Au1 0.250 0.250 0.250
# Offset from the most stable computed form in eV/atom: 0.023

=====

# TbBTe, relaxed, DFT GGA-PBE
data_TbBTe
_chemical_formula_sum 'Tb4 B4 Te4'
_symmetry_space_group_name_H-M 'F -4 3 m'
_symmetry_Int_Tables_number 216
_symmetry_space_group_name_Hall 'F -4 2 3'
_cell_length_a 6.425
_cell_length_b 6.425
_cell_length_c 6.425
_cell_angle_alpha 90.00
_cell_angle_beta 90.00
_cell_angle_gamma 90.00
loop_
_atom_site_label
_atom_site_fract_x
_atom_site_fract_y
_atom_site_fract_z
Tb1 0.000 0.000 0.000
B1 0.250 0.250 0.250
Te1 0.000 0.000 0.500
# Offset from the most stable computed form in eV/atom: 0.000

=====

# YCuSiAu, relaxed, DFT GGA-PBE
data_YCuSiAu
_chemical_formula_sum 'Y4 Cu4 Si4 Au4'
_symmetry_space_group_name_H-M 'F -4 3 m'
_symmetry_Int_Tables_number 216
_symmetry_space_group_name_Hall 'F -4 2 3'
_cell_length_a 6.629
_cell_length_b 6.629
_cell_length_c 6.629
_cell_angle_alpha 90.00
_cell_angle_beta 90.00
_cell_angle_gamma 90.00
loop_
_atom_site_label
_atom_site_fract_x
_atom_site_fract_y
_atom_site_fract_z
Y1 0.000 0.000 0.000
Cu1 0.250 0.250 0.750
Si1 0.000 0.000 0.500
Au1 0.250 0.250 0.250
# Offset from the most stable computed form in eV/atom: 0.000

=====

# Nd3CdIr, relaxed, DFT GGA-PBE
data_Nd3CdIr
_chemical_formula_sum 'Nd6 Cd2 Ir2'
_symmetry_space_group_name_H-M 'P -1'
_symmetry_Int_Tables_number 2
_symmetry_space_group_name_Hall '-P 1'
_cell_length_a 5.858
_cell_length_b 6.698
_cell_length_c 8.586
_cell_angle_alpha 100.33
_cell_angle_beta 102.22
_cell_angle_gamma 113.23
loop_
_atom_site_label
_atom_site_fract_x
_atom_site_fract_y
_atom_site_fract_z
Nd1 0.064 0.189 0.309
Nd2 0.297 0.823 0.108
Nd3 0.323 0.452 0.757
Cd1 0.344 0.759 0.485
Ir1 0.238 0.187 0.986
# Energy relative to the elements in eV/atom: -0.43

=====

# NbRePt, relaxed, DFT GGA-PBE
data_NbRePt
_chemical_formula_sum 'Nb4 Re4 Pt4'
_symmetry_space_group_name_H-M 'F -4 3 m'
_symmetry_Int_Tables_number 216
_symmetry_space_group_name_Hall 'F -4 2 3'
_cell_length_a 6.108
_cell_length_b 6.108
_cell_length_c 6.108
_cell_angle_alpha 90.00
_cell_angle_beta 90.00
_cell_angle_gamma 90.00
loop_
_atom_site_label
_atom_site_fract_x
_atom_site_fract_y
_atom_site_fract_z
Nb1 0.000 0.000 0.000
Re1 0.250 0.250 0.250
Pt1 0.000 0.000 0.500
# Energy relative to the elements in eV/atom: 0.41
# Offset from the most stable computed form in eV/atom: 0.000

=====

# AgPdCl6, relaxed, DFT GGA-PBE
data_AgPdCl6
_chemical_formula_sum 'Ag4 Pd4 Cl24'
_symmetry_space_group_name_H-M 'F -4 3 m'
_symmetry_Int_Tables_number 216
_symmetry_space_group_name_Hall 'F -4 2 3'
_cell_length_a 9.301
_cell_length_b 9.301
_cell_length_c 9.301
_cell_angle_alpha 90.00
_cell_angle_beta 90.00
_cell_angle_gamma 90.00
loop_
_atom_site_label
_atom_site_fract_x
_atom_site_fract_y
_atom_site_fract_z
Ag1 0.000 0.000 0.000
Pd1 0.250 0.250 0.250
Cl1 0.000 0.000 0.257
# DFT total energy in eV/atom: -2.0730

=====

# RbGdCdSe3, relaxed, DFT GGA-PBE
data_RbGdCdSe3
_chemical_formula_sum 'Rb4 Gd4 Cd4 Se12'
_symmetry_space_group_name_H-M 'P n m a'
_symmetry_Int_Tables_number 62
_symmetry_space_group_name_Hall '-P 2ac 2n'
_cell_length_a 10.414
_cell_length_b 4.330
_cell_length_c 16.182
_cell_angle_alpha 90.00
_cell_angle_beta 90.00
_cell_angle_gamma 90.00
loop_
_atom_site_label
_atom_site_fract_x
_atom_site_fract_y
_atom_site_fract_z
Rb1 0.034 0.250 0.182
Gd1 0.182 0.750 0.447
Cd1 0.159 0.250 0.638
Se1 0.010 0.750 0.596
Se2 0.170 0.750 0.016
Se3 0.227 0.250 0.790
# DFT total energy in eV/atom: -4.1121

=====

# BaLiTaPd, relaxed, DFT GGA-PBE
data_BaLiTaPd
_chemical_formula_sum 'Ba4 Li4 Ta4 Pd4'
_symmetry_space_group_name_H-M 'F -4 3 m'
_symmetry_Int_Tables_number 216
_symmetry_space_group_name_Hall 'F -4 2 3'
_cell_length_a 7.155
_cell_length_b 7.155
_cell_length_c 7.155
_cell_angle_alpha 90.00
_cell_angle_beta 90.00
_cell_angle_gamma 90.00
loop_
_atom_site_label
_atom_site_fract_x
_atom_site_fract_y
_atom_site_fract_z
Ba1 0.000 0.000 0.000
Li1 0.250 0.250 0.750
Ta1 0.000 0.000 0.500
Pd1 0.250 0.250 0.250
# Offset from the most stable computed form in eV/atom: 0.109

=====

# DyTlPO, relaxed, DFT GGA-PBE
data_DyTlPO
_chemical_formula_sum 'Dy2 Tl2 P2 O2'
_symmetry_space_group_name_H-M 'P m c 21'
_symmetry_Int_Tables_number 26
_symmetry_space_group_name_Hall 'P 2c -2'
_cell_length_a 4.038
_cell_length_b 7.947
_cell_length_c 5.765
_cell_angle_alpha 90.00
_cell_angle_beta 90.00
_cell_angle_gamma 90.00
loop_
_atom_site_label
_atom_site_fract_x
_atom_site_fract_y
_atom_site_fract_z
Dy1 0.000 0.184 0.000
Tl1 0.500 0.377 0.528
P1 0.000 0.166 0.496
O1 0.500 0.289 0.990
# Offset from the most stable computed form in eV/atom: 0.121

=====

# PrDyW2C3, relaxed, DFT GGA-PBE
data_PrDyW2C3
_chemical_formula_sum 'Pr2 Dy2 W4 C6'
_symmetry_space_group_name_H-M 'C 1 m 1'
_symmetry_Int_Tables_number 8
_symmetry_space_group_name_Hall 'C -2y'
_cell_length_a 12.117
_cell_length_b 3.374
_cell_length_c 5.836
_cell_angle_alpha 90.00
_cell_angle_beta 114.21
_cell_angle_gamma 90.00
loop_
_atom_site_label
_atom_site_fract_x
_atom_site_fract_y
_atom_site_fract_z
Pr1 0.000 0.000 0.000
Dy1 0.217 0.000 0.631
W1 0.262 0.500 0.130
W2 0.447 0.000 0.483
C1 0.108 0.500 0.796
C2 0.352 0.000 0.078
C3 0.354 0.500 0.536
# DFT total energy in eV/atom: -9.2348

=====

# Pd, relaxed, DFT GGA-PBE
data_Pd
_chemical_formula_sum 'Pd30'
_symmetry_space_group_name_H-M 'P 1 2/c 1'
_symmetry_Int_Tables_number 13
_symmetry_space_group_name_Hall '-P 2yc'
_cell_length_a 4.760
_cell_length_b 34.195
_cell_length_c 4.753
_cell_angle_alpha 90.00
_cell_angle_beta 108.80
_cell_angle_gamma 90.00
loop_
_atom_site_label
_atom_site_fract_x
_atom_site_fract_y
_atom_site_fract_z
Pd1 0.000 0.021 0.250
Pd2 0.000 0.062 0.750
Pd3 0.000 0.103 0.250
Pd4 0.000 0.145 0.750
Pd5 0.000 0.186 0.250
Pd6 0.000 0.227 0.750
Pd7 0.000 0.269 0.250
Pd8 0.000 0.305 0.750
Pd9 0.500 0.021 0.750
Pd10 0.500 0.062 0.250
Pd11 0.500 0.103 0.750
Pd12 0.500 0.145 0.250
Pd13 0.500 0.186 0.750
Pd14 0.500 0.229 0.250
Pd15 0.500 0.269 0.750
# Energy relative to the elements in eV/atom: 0.16
# Offset from the most stable computed form in eV/atom: 0.160

=====

# TaFeAsOs, relaxed, DFT GGA-PBE
data_TaFeAsOs
_chemical_formula_sum 'Ta4 Fe4 As4 Os4'
_symmetry_space_group_name_H-M 'F -4 3 m'
_symmetry_Int_Tables_number 216
_symmetry_space_group_name_Hall 'F -4 2 3'
_cell_length_a 6.187
_cell_length_b 6.187
_cell_length_c 6.187
_cell_angle_alpha 90.00
_cell_angle_beta 90.00
_cell_angle_gamma 90.00
loop_
_atom_site_label
_atom_site_fract_x
_atom_site_fract_y
_atom_site_fract_z
Ta1 0.000 0.000 0.000
Fe1 0.250 0.250 0.750
As1 0.000 0.000 0.500
Os1 0.250 0.250 0.250
# Offset from the most stable computed form in eV/atom: 0.000

=====

# PuHfCd, relaxed, DFT GGA-PBE
data_PuHfCd
_chemical_formula_sum 'Pu4 Hf4 Cd4'
_symmetry_space_group_name_H-M 'F -4 3 m'
_symmetry_Int_Tables_number 216
_symmetry_space_group_name_Hall 'F -4 2 3'
_cell_length_a 6.616
_cell_length_b 6.616
_cell_length_c 6.616
_cell_angle_alpha 90.00
_cell_angle_beta 90.00
_cell_angle_gamma 90.00
loop_
_atom_site_label
_atom_site_fract_x
_atom_site_fract_y
_atom_site_fract_z
Pu1 0.000 0.000 0.000
Hf1 0.250 0.250 0.750
Cd1 0.000 0.000 0.500
# Energy relative to the elements in eV/atom: 0.70